(1)
This record from Alexandria via LeMat-Bulk describes an optimized crystal structure of SrGaSe3. The functional is PBEsol.

Output
Formation energy from raw total energies: 3.28 kcal/mol of atoms
E_tot: -16.020 eV for the cell shown
Crystal system: cubic

Cell: 5.710 5.710 5.710 Å, 90.00 90.00 90.00°
Element x y z (fractional)
Sr (0.000, 0.000, 0.000)
Ga (0.500, 0.500, 0.500)
Se (0.000, 0.000, 0.500)
Se (0.000, 0.500, 0.000)
Se (0.500, 0.000, 0.000)

=====

(2)
This record from Alexandria via LeMat-Bulk describes an optimized crystal structure of Ta4GaTe4Se4. The functional is PBEsol.

Output
Formation energy from raw total energies: -13.62 kcal/mol of atoms
E_tot: -90.728 eV for the cell shown
Crystal system: cubic

Cell: 7.662 7.662 7.662 Å, 60.00 60.00 60.00°
Element x y z (fractional)
Ta (0.402, 0.402, 0.402)
Ta (0.402, 0.402, 0.794)
Ta (0.402, 0.794, 0.402)
Ta (0.794, 0.402, 0.402)
Ga (0.000, 0.000, 0.000)
Te (0.137, 0.137, 0.137)
Te (0.137, 0.137, 0.589)
Te (0.137, 0.589, 0.137)
Te (0.589, 0.137, 0.137)
Se (0.105, 0.632, 0.632)
Se (0.632, 0.105, 0.632)
Se (0.632, 0.632, 0.105)
Se (0.632, 0.632, 0.632)

=====

(3)
This record from Alexandria via LeMat-Bulk describes an optimized crystal structure of Ta4GaTe6Se2. The functional is PBEsol.

Output
Formation energy from raw total energies: -10.89 kcal/mol of atoms
E_tot: -88.542 eV for the cell shown
Crystal system: orthorhombic

Cell: 7.719 7.719 7.719 Å, 120.35 119.08 90.50°
Element x y z (fractional)
Ta (0.193, 0.004, 0.812)
Ta (0.193, 0.381, 0.188)
Ta (0.209, 0.000, 0.209)
Ta (0.791, 0.000, 0.791)
Ga (0.605, 0.605, 0.000)
Te (0.014, 0.733, 0.281)
Te (0.452, 0.733, 0.719)
Te (0.459, 0.191, 0.731)
Te (0.459, 0.728, 0.269)
Te (0.948, 0.220, 0.272)
Te (0.948, 0.676, 0.728)
Se (0.492, 0.227, 0.265)
Se (0.963, 0.227, 0.735)

=====

(4)
This record from Alexandria via LeMat-Bulk describes an optimized crystal structure of GaTc3Se. The functional is PBEsol.

Output
Formation energy from raw total energies: 39.59 kcal/mol of atoms
E_tot: -32.405 eV for the cell shown
Crystal system: cubic

Cell: 4.508 4.508 4.508 Å, 90.00 90.00 90.00°
Element x y z (fractional)
Ga (0.000, 0.000, 0.000)
Tc (0.000, 0.000, 0.500)
Tc (0.000, 0.500, 0.000)
Tc (0.500, 0.000, 0.000)
Se (0.500, 0.500, 0.500)

=====

(5)
This record from Alexandria via LeMat-Bulk describes an optimized crystal structure of Ga2TeSe2. The functional is PBEsol.

Output
Formation energy from raw total energies: -10.93 kcal/mol of atoms
E_tot: -40.552 eV for the cell shown
Crystal system: tetragonal

Cell: 7.399 7.399 7.399 Å, 121.34 121.34 87.70°
Element x y z (fractional)
Ga (0.226, 0.000, 0.226)
Ga (0.750, 0.024, 0.274)
Ga (0.750, 0.476, 0.726)
Ga (0.774, 0.000, 0.774)
Te (0.348, 0.848, 0.500)
Te (0.598, 0.598, 0.000)
Se (0.473, 0.226, 0.247)
Se (0.976, 0.229, 0.253)
Se (0.976, 0.723, 0.747)
Se (0.979, 0.226, 0.753)

=====

(6)
This record from Alexandria via LeMat-Bulk describes an optimized crystal structure of TlGaSe2. The functional is PBEsol.

Output
Formation energy from raw total energies: -12.31 kcal/mol of atoms
E_tot: -126.439 eV for the cell shown
Offset from the most stable computed form: 3 meV per atom
Crystal system: monoclinic

Cell: 7.575 7.575 15.481 Å, 97.39 97.39 89.97°
Element x y z (fractional)
Tl (0.157, 0.732, 0.607)
Tl (0.199, 0.340, 0.881)
Tl (0.268, 0.843, 0.893)
Tl (0.340, 0.199, 0.381)
Tl (0.660, 0.801, 0.619)
Tl (0.732, 0.157, 0.107)
Tl (0.801, 0.660, 0.119)
Tl (0.843, 0.268, 0.393)
Ga (0.084, 0.716, 0.338)
Ga (0.284, 0.420, 0.160)
Ga (0.284, 0.916, 0.162)
Ga (0.420, 0.284, 0.660)
Ga (0.580, 0.716, 0.340)
Ga (0.716, 0.084, 0.838)
Ga (0.716, 0.580, 0.840)
Ga (0.916, 0.284, 0.662)
Se (0.040, 0.960, 0.250)
Se (0.046, 0.428, 0.249)
Se (0.141, 0.281, 0.565)
Se (0.238, 0.644, 0.063)
Se (0.281, 0.141, 0.065)
Se (0.356, 0.762, 0.437)
Se (0.428, 0.046, 0.749)
Se (0.432, 0.568, 0.750)
Se (0.568, 0.432, 0.250)
Se (0.572, 0.954, 0.251)
Se (0.644, 0.238, 0.563)
Se (0.719, 0.859, 0.935)
Se (0.762, 0.356, 0.937)
Se (0.859, 0.719, 0.435)
Se (0.954, 0.572, 0.751)
Se (0.960, 0.040, 0.750)

=====

(7)
This record from Alexandria via LeMat-Bulk describes an optimized crystal structure of TlGaSe2. The functional is PBEsol.

Output
Formation energy from raw total energies: -12.38 kcal/mol of atoms
E_tot: -31.637 eV for the cell shown
Offset from the most stable computed form: 0 meV per atom
Crystal system: tetragonal

Cell: 6.454 6.454 6.454 Å, 104.16 104.16 120.71°
Element x y z (fractional)
Tl (0.250, 0.250, 0.000)
Tl (0.750, 0.750, 0.000)
Ga (0.250, 0.750, 0.500)
Ga (0.750, 0.250, 0.500)
Se (0.164, 0.664, 0.829)
Se (0.336, 0.164, 0.500)
Se (0.664, 0.836, 0.500)
Se (0.836, 0.336, 0.171)

=====

(8)
This record from Alexandria via LeMat-Bulk describes an optimized crystal structure of TlGaSe2. The functional is PBEsol.

Output
Formation energy from raw total energies: -11.16 kcal/mol of atoms
E_tot: -31.212 eV for the cell shown
Offset from the most stable computed form: 53 meV per atom
Crystal system: tetragonal

Cell: 6.568 6.568 6.568 Å, 112.88 112.88 102.86°
Element x y z (fractional)
Tl (0.000, 0.000, 0.000)
Tl (0.750, 0.250, 0.500)
Ga (0.250, 0.750, 0.500)
Ga (0.500, 0.500, 0.000)
Se (0.208, 0.125, 0.583)
Se (0.375, 0.792, 0.917)
Se (0.542, 0.625, 0.417)
Se (0.875, 0.458, 0.083)

=====

(9)
This record from Alexandria via LeMat-Bulk describes an optimized crystal structure of Ga3WSe. The functional is PBEsol.

Output
Formation energy from raw total energies: 18.97 kcal/mol of atoms
E_tot: -23.563 eV for the cell shown
Crystal system: cubic

Cell: 4.925 4.925 4.925 Å, 90.00 90.00 90.00°
Element x y z (fractional)
Ga (0.000, 0.000, 0.500)
Ga (0.000, 0.500, 0.000)
Ga (0.500, 0.000, 0.000)
W (0.000, 0.000, 0.000)
Se (0.500, 0.500, 0.500)

=====

(10)
This record from Alexandria via LeMat-Bulk describes an optimized crystal structure of GaWSe2. The functional is PBEsol.

Output
Formation energy from raw total energies: 11.70 kcal/mol of atoms
E_tot: -22.818 eV for the cell shown
Crystal system: trigonal

Cell: 8.209 8.209 8.209 Å, 23.70 23.70 23.70°
Element x y z (fractional)
Ga (0.000, 0.000, 0.000)
W (0.500, 0.500, 0.500)
Se (0.400, 0.400, 0.400)
Se (0.600, 0.600, 0.600)

=====

(11)
This record from Alexandria via LeMat-Bulk describes an optimized crystal structure of Y3GaSe. The functional is PBEsol.

Output
Formation energy from raw total energies: -4.54 kcal/mol of atoms
E_tot: -28.641 eV for the cell shown
Crystal system: cubic

Cell: 5.313 5.313 5.313 Å, 90.00 90.00 90.00°
Element x y z (fractional)
Y (0.000, 0.000, 0.500)
Y (0.000, 0.500, 0.000)
Y (0.500, 0.000, 0.000)
Ga (0.000, 0.000, 0.000)
Se (0.500, 0.500, 0.500)

=====

(12)
This record from Alexandria via LeMat-Bulk describes an optimized crystal structure of Y2GaSe. The functional is PBEsol.

Output
Formation energy from raw total energies: -19.94 kcal/mol of atoms
E_tot: -24.293 eV for the cell shown
Crystal system: cubic

Cell: 5.020 5.020 5.020 Å, 60.00 60.00 60.00°
Element x y z (fractional)
Y (0.250, 0.250, 0.250)
Y (0.750, 0.750, 0.750)
Ga (0.000, 0.000, 0.000)
Se (0.500, 0.500, 0.500)

=====

(13)
This record from Alexandria via LeMat-Bulk describes an optimized crystal structure of SmGaSi. The functional is PBEsol.

Output
Formation energy from raw total energies: -17.62 kcal/mol of atoms
E_tot: -32.942 eV for the cell shown
Crystal system: tetragonal

Cell: 7.643 7.643 7.643 Å, 148.86 148.86 44.62°
Element x y z (fractional)
Sm (0.000, 0.000, 0.000)
Sm (0.750, 0.250, 0.500)
Ga (0.333, 0.833, 0.500)
Ga (0.583, 0.583, 0.000)
Si (0.167, 0.667, 0.500)
Si (0.417, 0.417, 0.000)

=====

(14)
This record from Alexandria via LeMat-Bulk describes an optimized crystal structure of GaSi2Sn. The functional is PBEsol.

Output
Formation energy from raw total energies: 8.81 kcal/mol of atoms
E_tot: -17.565 eV for the cell shown
Offset from the most stable computed form: 159 meV per atom
Crystal system: cubic

Cell: 4.708 4.708 4.708 Å, 60.00 60.00 60.00°
Element x y z (fractional)
Ga (0.000, 0.000, 0.000)
Si (0.250, 0.250, 0.250)
Si (0.750, 0.750, 0.750)
Sn (0.500, 0.500, 0.500)

=====

(15)
This record from Alexandria via LeMat-Bulk describes an optimized crystal structure of GaSi3Sn. The functional is PBEsol.

Output
Formation energy from raw total energies: 18.36 kcal/mol of atoms
E_tot: -20.858 eV for the cell shown
Offset from the most stable computed form: 0 meV per atom
Crystal system: cubic

Cell: 4.737 4.737 4.737 Å, 90.00 90.00 90.00°
Element x y z (fractional)
Ga (0.000, 0.000, 0.000)
Si (0.000, 0.000, 0.500)
Si (0.000, 0.500, 0.000)
Si (0.500, 0.000, 0.000)
Sn (0.500, 0.500, 0.500)

=====

(16)
This record from Alexandria via LeMat-Bulk describes an optimized crystal structure of GaSi2Sn. The functional is PBEsol.

Output
Formation energy from raw total energies: 5.15 kcal/mol of atoms
E_tot: -36.399 eV for the cell shown
Offset from the most stable computed form: 0 meV per atom
Crystal system: tetragonal

Cell: 7.082 7.082 7.082 Å, 131.98 131.98 70.27°
Element x y z (fractional)
Ga (0.000, 0.000, 0.000)
Ga (0.750, 0.250, 0.500)
Si (0.098, 0.625, 0.973)
Si (0.375, 0.348, 0.473)
Si (0.652, 0.125, 0.027)
Si (0.875, 0.902, 0.527)
Sn (0.250, 0.750, 0.500)
Sn (0.500, 0.500, 0.000)

=====

(17)
This record from Alexandria via LeMat-Bulk describes an optimized crystal structure of Ga3SiSn. The functional is PBEsol.

Output
Formation energy from raw total energies: 7.46 kcal/mol of atoms
E_tot: -18.407 eV for the cell shown
Crystal system: cubic

Cell: 4.776 4.776 4.776 Å, 90.00 90.00 90.00°
Element x y z (fractional)
Ga (0.000, 0.000, 0.500)
Ga (0.000, 0.500, 0.000)
Ga (0.500, 0.000, 0.000)
Si (0.000, 0.000, 0.000)
Sn (0.500, 0.500, 0.500)

=====

(18)
This record from Alexandria via LeMat-Bulk describes an optimized crystal structure of GaSi2Tc2. The functional is PBEsol.

Output
Formation energy from raw total energies: -8.11 kcal/mol of atoms
E_tot: -39.125 eV for the cell shown
Crystal system: tetragonal

Cell: 6.752 6.752 6.752 Å, 151.28 151.28 41.07°
Element x y z (fractional)
Ga (0.000, 0.000, 0.000)
Si (0.250, 0.750, 0.500)
Si (0.750, 0.250, 0.500)
Tc (0.390, 0.390, 0.000)
Tc (0.610, 0.610, 0.000)

=====

(19)
This record from Alexandria via LeMat-Bulk describes an optimized crystal structure of Ti3GaSi. The functional is PBEsol.

Output
Formation energy from raw total energies: 3.41 kcal/mol of atoms
E_tot: -33.314 eV for the cell shown
Crystal system: cubic

Cell: 4.540 4.540 4.540 Å, 90.00 90.00 90.00°
Element x y z (fractional)
Ti (0.000, 0.000, 0.500)
Ti (0.000, 0.500, 0.000)
Ti (0.500, 0.000, 0.000)
Ga (0.500, 0.500, 0.500)
Si (0.000, 0.000, 0.000)

=====

(20)
This record from Alexandria via LeMat-Bulk describes an optimized crystal structure of TlGaSi2. The functional is PBEsol.

Output
Formation energy from raw total energies: 11.14 kcal/mol of atoms
E_tot: -31.062 eV for the cell shown
Offset from the most stable computed form: 0 meV per atom
Crystal system: tetragonal

Cell: 7.067 7.067 7.067 Å, 131.09 131.09 71.66°
Element x y z (fractional)
Tl (0.000, 0.000, 0.000)
Tl (0.750, 0.250, 0.500)
Ga (0.250, 0.750, 0.500)
Ga (0.500, 0.500, 0.000)
Si (0.161, 0.625, 0.036)
Si (0.375, 0.411, 0.536)
Si (0.589, 0.125, 0.964)
Si (0.875, 0.839, 0.464)

=====

(21)
This record from Alexandria via LeMat-Bulk describes an optimized crystal structure of TlGaSi2. The functional is PBEsol.

Output
Formation energy from raw total energies: 12.23 kcal/mol of atoms
E_tot: -15.342 eV for the cell shown
Offset from the most stable computed form: 47 meV per atom
Crystal system: cubic

Cell: 4.786 4.786 4.786 Å, 60.00 60.00 60.00°
Element x y z (fractional)
Tl (0.000, 0.000, 0.000)
Ga (0.500, 0.500, 0.500)
Si (0.250, 0.250, 0.250)
Si (0.750, 0.750, 0.750)

=====

(22)
This record from Alexandria via LeMat-Bulk describes an optimized crystal structure of TlGaSi3. The functional is PBEsol.

Output
Formation energy from raw total energies: 19.23 kcal/mol of atoms
E_tot: -19.041 eV for the cell shown
Crystal system: cubic

Cell: 4.787 4.787 4.787 Å, 90.00 90.00 90.00°
Element x y z (fractional)
Tl (0.000, 0.000, 0.000)
Ga (0.500, 0.500, 0.500)
Si (0.000, 0.500, 0.500)
Si (0.500, 0.000, 0.500)
Si (0.500, 0.500, 0.000)

=====

(23)
This record from Alexandria via LeMat-Bulk describes an optimized crystal structure of YZnGa2Si. The functional is PBEsol.

Output
Formation energy from raw total energies: 5.13 kcal/mol of atoms
E_tot: -19.717 eV for the cell shown
Crystal system: tetragonal

Cell: 4.658 4.658 5.338 Å, 90.00 90.00 90.00°
Element x y z (fractional)
Y (0.000, 0.000, 0.000)
Zn (0.500, 0.500, 0.000)
Ga (0.000, 0.500, 0.500)
Ga (0.500, 0.000, 0.500)
Si (0.000, 0.000, 0.500)

=====

(24)
This record from Alexandria via LeMat-Bulk describes an optimized crystal structure of ZrGaSi3. The functional is PBEsol.

Output
Formation energy from raw total energies: 18.48 kcal/mol of atoms
E_tot: -25.663 eV for the cell shown
Offset from the most stable computed form: 47 meV per atom
Crystal system: cubic

Cell: 4.616 4.616 4.616 Å, 90.00 90.00 90.00°
Element x y z (fractional)
Zr (0.000, 0.000, 0.000)
Ga (0.500, 0.500, 0.500)
Si (0.000, 0.500, 0.500)
Si (0.500, 0.000, 0.500)
Si (0.500, 0.500, 0.000)

=====

(25)
This record from Alexandria via LeMat-Bulk describes an optimized crystal structure of ZrGaSi3. The functional is PBEsol.

Output
Formation energy from raw total energies: 17.39 kcal/mol of atoms
E_tot: -25.899 eV for the cell shown
Offset from the most stable computed form: 0 meV per atom
Crystal system: cubic

Cell: 5.026 5.026 5.026 Å, 90.00 90.00 90.00°
Element x y z (fractional)
Zr (0.000, 0.000, 0.000)
Ga (0.500, 0.500, 0.500)
Si (0.000, 0.000, 0.500)
Si (0.000, 0.500, 0.000)
Si (0.500, 0.000, 0.000)